# 1
Below is an optimized crystal structure of Rb2PrHg2S4, with properties calculated at the PBE-GGA level.

Unit cell a=4.1688 b=8.3456 c=8.4681 alpha=112.21 beta=104.25 gamma=90.00
Last column: nearest neighbours and their distance in Å.
Element x y z (fractional)
Rb (0.1262, 0.5610, 0.2523)  7 S 3.34-3.64, 1 Hg 3.60
Rb (0.8738, 0.4390, 0.7477)  7 S 3.34-3.64, 1 Hg 3.60
Pr (0.0000, 0.0000, 0.0000)  6 S 2.90-2.92
Hg (0.6894, 0.0241, 0.3788)  3 S 2.65-2.67
Hg (0.3106, 0.9759, 0.6212)  3 S 2.65-2.67
S (0.1880, 0.2237, 0.3759)  2 Hg 2.67, 1 Pr 2.92
S (0.8120, 0.7763, 0.6241)  2 Hg 2.67, 1 Pr 2.92
S (0.5265, 0.7828, 0.0530)  1 Hg 2.65, 2 Pr 2.90
S (0.4735, 0.2172, 0.9470)  1 Hg 2.65, 2 Pr 2.90

**Magnetization**: 0.000 μB/atom
**Space-group type**: C2/m (12)
**Formation energy (no corrections)**: -972 meV per atom

=====

# 2
Below is an optimized crystal structure of RhW2Se, with properties calculated at the PBE-GGA level.

Unit cell a=8.9284 b=8.9284 c=8.9284 alpha=18.91 beta=18.91 gamma=18.91
Last column: nearest neighbours and their distance in Å.
Element x y z (fractional)
Rh (0.5031, 0.5031, 0.5031)  3 W 2.65, 6 Rh 2.93, 3 Se 2.96
Se (0.7440, 0.7440, 0.7440)  3 W 2.54
W (0.0054, 0.0054, 0.0054)  3 Se 2.54
W (0.2474, 0.2474, 0.2474)  3 Rh 2.65, 9 W 2.93-2.94

**Magnetization**: 0.000 μB/atom
**Space-group type**: R3m (160)
**Formation energy (no corrections)**: 161 meV per atom

=====

# 3
Below is an optimized crystal structure of La2YAs3Rh12, with properties calculated at the PBE-GGA level.

Unit cell a=6.8522 b=6.8522 c=6.8522 alpha=83.58 beta=83.58 gamma=83.58
Last column: nearest neighbours and their distance in Å.
Element x y z (fractional)
La (0.6354, 0.6354, 0.6354)  3 Rh 2.57
La (0.3646, 0.3646, 0.3646)  3 Rh 2.57
Y (0.0000, 0.0000, 0.0000)  6 Rh 2.71
As (0.5000, 0.0000, 0.0000)  6 Rh 2.39-2.65
As (0.0000, 0.5000, 0.0000)  6 Rh 2.39-2.65
As (0.0000, 0.0000, 0.5000)  6 Rh 2.39-2.65
Rh (0.3742, 0.3742, 0.9017)  2 As 2.65, 1 Rh 2.65
Rh (0.8137, 0.8137, 0.3270)  1 As 2.39, 1 La 2.57, 1 Rh 2.65
Rh (0.3270, 0.8137, 0.8137)  1 As 2.39, 1 La 2.57, 1 Rh 2.65
Rh (0.9017, 0.3742, 0.3742)  2 As 2.65, 1 Rh 2.65
Rh (0.8137, 0.3270, 0.8137)  1 As 2.39, 1 La 2.57, 1 Rh 2.65
Rh (0.3742, 0.9017, 0.3742)  2 As 2.65, 1 Rh 2.65
Rh (0.6258, 0.6258, 0.0983)  2 As 2.65, 1 Rh 2.65
Rh (0.1863, 0.1863, 0.6730)  1 As 2.39, 1 La 2.57, 1 Rh 2.65
Rh (0.6730, 0.1863, 0.1863)  1 As 2.39, 1 La 2.57, 1 Rh 2.65
Rh (0.0983, 0.6258, 0.6258)  2 As 2.65, 1 Rh 2.65
Rh (0.1863, 0.6730, 0.1863)  1 As 2.39, 1 La 2.57, 1 Rh 2.65
Rh (0.6258, 0.0983, 0.6258)  2 As 2.65, 1 Rh 2.65

**Magnetization**: 0.000 μB/atom
**Space-group type**: R-3m (166)
**Calculated formation energy**: -0.32 eV/atom

=====

# 4
Below is an optimized crystal structure of RbGeAs2Se, with properties calculated at the PBE-GGA level.

Unit cell a=5.5448 b=5.5448 c=5.7158 alpha=90.00 beta=90.00 gamma=90.00
Last column: nearest neighbours and their distance in Å.
Element x y z (fractional)
As (0.0000, 0.5000, 0.0000)  2 Rb 2.77
As (0.5000, 0.0000, 0.0000)  2 Rb 2.77
Ge (0.5000, 0.5000, 0.5000)  4 Se 3.92, 8 As 3.98
Se (0.0000, 0.0000, 0.5000)  2 Rb 2.86
Rb (0.0000, 0.0000, 0.0000)  4 As 2.77, 2 Se 2.86

**Magnetization**: 0.050 μB/atom
**Space-group type**: P4/mmm (123)
**Formation energy (no corrections)**: 1589 meV per atom